Record 1
A plane-wave DFT calculation with PBE was carried out for YInIr2 after structural relaxation.

Geometry as extended XYZ:
```
4
Lattice="0.000 3.358 3.358 3.358 0.000 3.358 3.358 3.358 0.000" Properties=species:S:1:pos:R:3 pbc="T T T"
Y 0.000 0.000 0.000
In 1.679 1.679 1.679
Ir 3.358 3.358 3.358
Ir 5.037 5.037 5.037
```

Computed properties:
Crystal system ... cubic
M_tot ... 0.000 μB per atom
V ... 18.94 A^3/atom
Space group ... F-43m, No. 216
Total energy ... -6.7745 eV per atom
E_form ... -43 meV/atom

---

Record 2
A plane-wave DFT calculation with PBE was carried out for Y2FeCo after structural relaxation.

Geometry as extended XYZ:
```
4
Lattice="3.457 -1.605 0.000 3.457 1.605 0.000 -1.087 0.000 7.460" Properties=species:S:1:pos:R:3 pbc="T T T"
Y 1.453 0.000 1.726
Y 4.374 0.000 5.734
Fe -0.544 0.000 3.730
Co 3.457 0.000 0.000
```

Computed properties:
Crystal system ... monoclinic
M_tot ... 0.434 μB per atom
V ... 20.70 A^3/atom
Space group ... C2/m, No. 12
Total energy ... -6.7769 eV per atom
E_form ... 347 meV/atom

---

Record 3
A plane-wave DFT calculation with PBE was carried out for Be2CuBr after structural relaxation.

Geometry as extended XYZ:
```
4
Lattice="2.998 0.000 0.000 0.000 3.136 0.000 0.000 0.000 6.120" Properties=species:S:1:pos:R:3 pbc="T T T"
Be 0.000 0.000 1.089
Be 0.000 0.000 5.031
Cu 1.499 1.568 0.000
Br 1.499 0.000 3.060
```

Computed properties:
Crystal system ... orthorhombic
M_tot ... 0.000 μB per atom
V ... 14.38 A^3/atom
ΔE_f (raw) ... 0.319 eV/atom
Space group ... Pmmm, No. 47
Total energy ... -2.9868 eV per atom

---

Record 4
A plane-wave DFT calculation with PBE was carried out for YTm2PuN4 after structural relaxation.

Geometry as extended XYZ:
```
8
Lattice="5.945 0.000 0.000 0.000 3.446 0.000 -1.973 0.000 5.608" Properties=species:S:1:pos:R:3 pbc="T T T"
Y 0.000 0.000 0.000
Tm 1.986 0.000 2.804
Tm 2.972 1.723 0.000
Pu -0.987 1.723 2.804
N 0.017 0.000 4.186
N 0.996 1.723 1.433
N 2.976 1.723 4.175
N 3.954 0.000 1.422
```

Computed properties:
Crystal system ... monoclinic
M_tot ... 0.592 μB per atom
V ... 14.36 A^3/atom
ΔE_f (raw) ... -1.629 eV/atom
Space group ... P2/m, No. 10
Total energy ... -9.5086 eV per atom

---

Record 5
A plane-wave DFT calculation with PBE was carried out for EuDyCdRu after structural relaxation.

Geometry as extended XYZ:
```
4
Lattice="0.000 3.608 3.608 3.608 0.000 3.608 3.608 3.608 0.000" Properties=species:S:1:pos:R:3 pbc="T T T"
Eu 0.000 0.000 0.000
Dy 3.608 3.608 3.608
Cd 1.804 1.804 1.804
Ru 5.412 5.412 5.412
```

Computed properties:
Crystal system ... cubic
M_tot ... 1.728 μB per atom
V ... 23.48 A^3/atom
Space group ... F-43m, No. 216
Total energy ... -6.3776 eV per atom
E_form ... -111 meV/atom

---

Record 6
A plane-wave DFT calculation with PBE was carried out for NaSnO3 after structural relaxation.

Geometry as extended XYZ:
```
5
Lattice="4.047 0.000 0.000 0.000 4.047 0.000 0.000 0.000 4.047" Properties=species:S:1:pos:R:3 pbc="T T T"
Na 0.000 0.000 0.000
Sn 2.023 2.023 2.023
O 0.000 2.023 2.023
O 2.023 0.000 2.023
O 2.023 2.023 0.000
```

Computed properties:
Crystal system ... cubic
M_tot ... 0.200 μB per atom
V ... 13.25 A^3/atom
ΔE_f (raw) ... -1.234 eV/atom
Space group ... Pm-3m, No. 221
Total energy ... -5.2730 eV per atom

---

Record 7
A plane-wave DFT calculation with PBE was carried out for SmThSbN after structural relaxation.

Geometry as extended XYZ:
```
4
Lattice="-1.878 1.990 6.682 1.878 -1.990 6.682 1.878 1.990 -6.682" Properties=species:S:1:pos:R:3 pbc="T T T"
Sm 0.000 0.000 0.000
Th 0.000 0.000 9.336
Sb 0.000 0.000 4.765
N 1.878 0.000 1.476
```

Computed properties:
Crystal system ... orthorhombic
M_tot ... 0.157 μB per atom
V ... 24.96 A^3/atom
ΔE_f (raw) ... -1.162 eV/atom
Space group ... Imm2, No. 44
Total energy ... -7.3090 eV per atom

---

Record 8
A plane-wave DFT calculation with PBE was carried out for Y2CdCu3Ni12 after structural relaxation.

Geometry as extended XYZ:
```
18
Lattice="3.044 1.757 8.575 -3.044 1.757 8.575 0.000 -3.515 8.575" Properties=species:S:1:pos:R:3 pbc="T T T"
Y 0.000 0.000 3.570
Y 0.000 0.000 22.154
Cd 0.000 0.000 12.862
Cu -1.522 -0.879 8.575
Cu -1.522 0.879 17.149
Cu 0.000 1.757 8.575
Ni -1.811 -1.045 11.123
Ni 0.000 -2.184 7.442
Ni -1.891 1.092 7.442
Ni -1.891 -1.092 18.282
Ni 0.000 -2.091 14.602
Ni -1.811 1.045 14.602
Ni 1.811 -1.045 11.123
Ni 0.000 2.091 11.123
Ni 1.891 1.092 7.443
Ni 1.891 -1.092 18.282
Ni 0.000 2.184 18.282
Ni 1.811 1.045 14.602
```

Computed properties:
Crystal system ... trigonal
M_tot ... 0.086 μB per atom
V ... 15.29 A^3/atom
Space group ... R-3m, No. 166
Total energy ... -5.0782 eV per atom
E_form ... 228 meV/atom

---

Record 9
A plane-wave DFT calculation with PBE was carried out for LiCu2PdF8 after structural relaxation.

Geometry as extended XYZ:
```
12
Lattice="-2.575 2.575 5.300 2.575 -2.575 5.300 2.575 2.575 -5.300" Properties=species:S:1:pos:R:3 pbc="T T T"
Li 0.000 0.000 0.000
Cu 0.000 0.000 5.300
Cu 0.000 2.575 2.650
Pd 2.575 0.000 2.650
F 1.267 1.112 -1.805
F 1.388 -1.060 4.450
F 1.515 1.187 0.850
F 1.463 -1.308 7.105
F 1.308 1.463 3.496
F 1.187 3.635 -0.850
F 1.060 1.388 6.151
F 1.112 3.883 1.805
```

Computed properties:
Crystal system ... tetragonal
M_tot ... 0.084 μB per atom
V ... 11.71 A^3/atom
ΔE_f (raw) ... -1.477 eV/atom
Space group ... I-4, No. 82
Total energy ... -3.9999 eV per atom

---

Record 10
A plane-wave DFT calculation with PBE was carried out for CsLiTl2Cd after structural relaxation.

Geometry as extended XYZ:
```
5
Lattice="5.517 0.000 0.000 0.000 5.517 0.000 0.000 0.000 5.575" Properties=species:S:1:pos:R:3 pbc="T T T"
Cs 0.000 0.000 0.000
Li 2.759 2.759 2.788
Tl 0.000 2.759 2.788
Tl 2.759 0.000 2.788
Cd 2.759 2.759 0.000
```

Computed properties:
Crystal system ... tetragonal
M_tot ... 0.000 μB per atom
V ... 33.94 A^3/atom
Space group ... P4/mmm, No. 123
Total energy ... -1.6777 eV per atom
E_form ... 5 meV/atom

---

Record 11
A plane-wave DFT calculation with PBE was carried out for BaSc2Rh after structural relaxation.

Geometry as extended XYZ:
```
4
Lattice="4.396 0.000 0.000 0.000 4.396 0.000 0.000 0.000 5.123" Properties=species:S:1:pos:R:3 pbc="T T T"
Ba 0.000 0.000 0.000
Sc 0.000 2.198 2.561
Sc 2.198 0.000 2.561
Rh 2.198 2.198 0.000
```

Computed properties:
Crystal system ... tetragonal
M_tot ... 0.152 μB per atom
V ... 24.74 A^3/atom
Space group ... P4/mmm, No. 123
Total energy ... -5.2916 eV per atom
E_form ... 193 meV/atom

---

Record 12
A plane-wave DFT calculation with PBE was carried out for Sm4Ho3PuS8 after structural relaxation.

Geometry as extended XYZ:
```
16
Lattice="3.948 2.279 6.483 -3.948 2.279 6.483 0.000 -4.558 6.483" Properties=species:S:1:pos:R:3 pbc="T T T"
Sm 0.000 0.000 0.000
Sm -1.974 -1.140 6.483
Sm -1.974 1.140 12.966
Sm 0.000 2.279 6.483
Ho -3.948 0.000 9.724
Ho -1.974 1.140 3.241
Ho 1.974 1.140 3.241
Pu 0.000 0.000 9.724
S -1.989 -1.148 11.283
S 0.000 0.000 4.785
S 0.000 -2.297 8.166
S -1.989 1.148 8.166
S 1.989 -1.148 11.283
S 0.000 2.297 11.283
S 0.000 0.000 14.663
S 1.989 1.148 8.166
```

Computed properties:
Crystal system ... trigonal
M_tot ... 0.354 μB per atom
V ... 21.87 A^3/atom
ΔE_f (raw) ... -1.986 eV/atom
Space group ... R-3m, No. 166
Total energy ... -6.9835 eV per atom